# CsTb2Co | Alexandria | PBE-GGA | relaxed
# ΔH_f (0 K) ... 0.1252 eV/atom
# Fermi-level density of states ... 2.71 states/eV/f.u.
data_CsTb2Co
_chemical_formula_sum 'Cs3 Tb6 Co3'
_symmetry_space_group_name_H-M 'R -3 m'
_symmetry_Int_Tables_number 166
_symmetry_space_group_name_Hall '-R 3 2"'
_cell_length_a 3.9789
_cell_length_b 3.9789
_cell_length_c 32.1893
_cell_angle_alpha 90.00
_cell_angle_beta 90.00
_cell_angle_gamma 120.00
loop_
_atom_site_label
_atom_site_type_symbol
_atom_site_fract_x
_atom_site_fract_y
_atom_site_fract_z
Cs1 Cs 0.0000 0.0000 0.0000
Tb1 Tb 0.0000 0.0000 0.1237
Co1 Co 0.0000 0.0000 0.5000